<a>
This record from Alexandria via LeMat-Bulk describes crystalline LaMg4Hg at its relaxed geometry. The functional is PBE.

- total magnetic moment (Bohr magnetons per cell) = 0.00

a b c (Å): 8.662 4.446 7.995
angles (deg): 90.00 90.00 90.00
Space group Pmma (No. 51)
Unique sites:
La1 0.250 0.000 0.121 [2 per cell]
Mg1 0.000 0.000 0.500 [2 per cell]
Mg2 0.053 0.500 0.810 [4 per cell]
Mg3 0.250 0.500 0.446 [2 per cell]
Hg1 0.250 0.000 0.718 [2 per cell]

***

<b>
This record from Alexandria via LeMat-Bulk describes crystalline LaMg4Hg at its relaxed geometry. The functional is PBE.

- total magnetic moment (Bohr magnetons per cell) = 0.00

a b c (Å): 8.549 8.549 8.549
angles (deg): 90.00 90.00 90.00
Space group F-43m (No. 216)
Unique sites:
La1 0.000 0.000 0.000 [4 per cell]
Mg1 0.125 0.125 0.625 [16 per cell]
Hg1 0.250 0.250 0.250 [4 per cell]

***

Of them, <b> has the lowest stability.

***

<a>
This record from Alexandria via LeMat-Bulk describes crystalline La2MgNiHg at its relaxed geometry. The functional is PBE.

- total magnetic moment (Bohr magnetons per cell) = 0.00

a b c (Å): 5.359 5.359 4.935
angles (deg): 90.00 90.00 90.00
Space group P4/mmm (No. 123)
Unique sites:
La1 0.000 0.500 0.000 [2 per cell]
Mg1 0.000 0.000 0.500 [1 per cell]
Ni1 0.000 0.000 0.000 [1 per cell]
Hg1 0.500 0.500 0.500 [1 per cell]

***

<b>
This record from Alexandria via LeMat-Bulk describes crystalline La2MgNiHg at its relaxed geometry. The functional is PBE.

- total magnetic moment (Bohr magnetons per cell) = 0.00

a b c (Å): 5.354 5.354 5.047
angles (deg): 90.00 90.00 90.00
Space group P4/mmm (No. 123)
Unique sites:
La1 0.000 0.500 0.000 [2 per cell]
Mg1 0.000 0.000 0.500 [1 per cell]
Ni1 0.500 0.500 0.000 [1 per cell]
Hg1 0.500 0.500 0.500 [1 per cell]

***

Of them, <b> has the lowest stability.

***

<a>
This record from Alexandria via LeMat-Bulk describes crystalline LaMgHgPb at its relaxed geometry. The functional is PBE.

- total magnetic moment (Bohr magnetons per cell) = 0.00

a b c (Å): 4.454 4.904 5.094
angles (deg): 90.00 90.00 90.00
Space group Pmmm (No. 47)
Unique sites:
La1 0.000 0.000 0.000 [1 per cell]
Mg1 0.000 0.500 0.500 [1 per cell]
Hg1 0.500 0.000 0.500 [1 per cell]
Pb1 0.500 0.500 0.000 [1 per cell]

***

<b>
This record from Alexandria via LeMat-Bulk describes crystalline LaMgHgPb at its relaxed geometry. The functional is PBE.

- total magnetic moment (Bohr magnetons per cell) = 0.00

a b c (Å): 7.617 7.617 7.617
angles (deg): 90.00 90.00 90.00
Space group F-43m (No. 216)
Unique sites:
La1 0.000 0.000 0.000 [4 per cell]
Mg1 0.000 0.000 0.500 [4 per cell]
Hg1 0.250 0.250 0.250 [4 per cell]
Pb1 0.250 0.250 0.750 [4 per cell]

***

Of them, <b> has the lowest stability.

***

<a>
This record from Alexandria via LeMat-Bulk describes crystalline LaPmMgHg at its relaxed geometry. The functional is PBE.

- total magnetic moment (Bohr magnetons per cell) = 0.00

a b c (Å): 3.893 3.893 7.725
angles (deg): 90.00 90.00 90.00
Space group P4mm (No. 99)
Unique sites:
La1 0.000 0.000 0.000 [1 per cell]
Pm1 0.000 0.000 0.504 [1 per cell]
Mg1 0.500 0.500 0.262 [1 per cell]
Hg1 0.500 0.500 0.737 [1 per cell]

***

<b>
This record from Alexandria via LeMat-Bulk describes crystalline LaPmMgHg at its relaxed geometry. The functional is PBE.

- total magnetic moment (Bohr magnetons per cell) = 0.16

a b c (Å): 7.759 7.759 7.759
angles (deg): 90.00 90.00 90.00
Space group F-43m (No. 216)
Unique sites:
La1 0.000 0.000 0.000 [4 per cell]
Pm1 0.000 0.000 0.500 [4 per cell]
Mg1 0.250 0.250 0.750 [4 per cell]
Hg1 0.250 0.250 0.250 [4 per cell]

***

Of them, <b> has the lowest stability.

***

<a>
This record from Alexandria via LeMat-Bulk describes crystalline LaSmMgHg at its relaxed geometry. The functional is PBE.

- total magnetic moment (Bohr magnetons per cell) = 0.00

a b c (Å): 3.880 3.880 7.726
angles (deg): 90.00 90.00 90.00
Space group P4mm (No. 99)
Unique sites:
La1 0.000 0.000 0.000 [1 per cell]
Sm1 0.000 0.000 0.504 [1 per cell]
Mg1 0.500 0.500 0.263 [1 per cell]
Hg1 0.500 0.500 0.734 [1 per cell]

***

<b>
This record from Alexandria via LeMat-Bulk describes crystalline LaSmMgHg at its relaxed geometry. The functional is PBE.

- total magnetic moment (Bohr magnetons per cell) = 0.41

a b c (Å): 7.743 7.743 7.743
angles (deg): 90.00 90.00 90.00
Space group F-43m (No. 216)
Unique sites:
La1 0.000 0.000 0.000 [4 per cell]
Sm1 0.000 0.000 0.500 [4 per cell]
Mg1 0.250 0.250 0.750 [4 per cell]
Hg1 0.250 0.250 0.250 [4 per cell]

***

Of them, <b> has the lowest stability.

***

<a>
This record from Alexandria via LeMat-Bulk describes crystalline La2MnHgN at its relaxed geometry. The functional is PBE.

- total magnetic moment (Bohr magnetons per cell) = 0.84

a b c (Å): 6.009 6.009 3.947
angles (deg): 90.00 90.00 90.00
Space group P4/mmm (No. 123)
Unique sites:
La1 0.000 0.500 0.000 [2 per cell]
Mn1 0.000 0.000 0.500 [1 per cell]
Hg1 0.500 0.500 0.000 [1 per cell]
N1 0.500 0.500 0.500 [1 per cell]

***

<b>
This record from Alexandria via LeMat-Bulk describes crystalline La2MnHgN at its relaxed geometry. The functional is PBE.

- total magnetic moment (Bohr magnetons per cell) = 0.86

a b c (Å): 5.390 5.390 3.718
angles (deg): 90.00 90.00 90.00
Space group P4/mmm (No. 123)
Unique sites:
La1 0.000 0.500 0.000 [2 per cell]
Mn1 0.000 0.000 0.500 [1 per cell]
Hg1 0.500 0.500 0.500 [1 per cell]
N1 0.000 0.000 0.000 [1 per cell]

***

Of them, <a> has the lowest stability.

***

<a>
This record from Alexandria via LeMat-Bulk describes crystalline La4HgN at its relaxed geometry. The functional is PBE.

- total magnetic moment (Bohr magnetons per cell) = 0.00

a b c (Å): 9.529 8.336 10.128
angles (deg): 90.00 90.00 90.00
Space group Cmcm (No. 63)
Unique sites:
La1 0.000 0.227 0.051 [8 per cell]
La2 0.192 0.450 0.750 [8 per cell]
Hg1 0.000 0.106 0.750 [4 per cell]
N1 0.000 0.369 0.250 [4 per cell]

***

<b>
This record from Alexandria via LeMat-Bulk describes crystalline La4HgN at its relaxed geometry. The functional is PBE.

- total magnetic moment (Bohr magnetons per cell) = 0.00

a b c (Å): 14.963 6.407 7.271
angles (deg): 90.00 106.28 90.00
Space group C2/c (No. 15)
Unique sites:
La1 0.097 0.096 0.466 [8 per cell]
La2 0.194 0.424 0.160 [8 per cell]
Hg1 0.000 0.398 0.750 [4 per cell]
N1 0.250 0.250 0.500 [4 per cell]

***

Of them, <a> has the lowest stability.

***

<a>
This record from Alexandria via LeMat-Bulk describes crystalline La3HgN2 at its relaxed geometry. The functional is PBE.

- total magnetic moment (Bohr magnetons per cell) = 0.00

a b c (Å): 4.251 12.322 5.628
angles (deg): 90.00 90.00 90.00
Space group Pmmn (No. 59, origin choice 2)
Unique sites:
La1 0.250 0.035 0.241 [4 per cell]
La2 0.250 0.250 0.758 [2 per cell]
Hg1 0.250 0.750 0.727 [2 per cell]
N1 0.250 0.056 0.805 [4 per cell]

***

<b>
This record from Alexandria via LeMat-Bulk describes crystalline La3HgN2 at its relaxed geometry. The functional is PBE.

- total magnetic moment (Bohr magnetons per cell) = 0.48

a b c (Å): 3.597 12.152 6.352
angles (deg): 90.00 90.00 90.00
Space group Pmc2_1 (No. 26)
Unique sites:
La1 0.000 0.084 0.000 [2 per cell]
La2 0.500 0.165 0.514 [2 per cell]
La3 0.500 0.368 0.897 [2 per cell]
Hg1 0.000 0.388 0.343 [2 per cell]
N1 0.000 0.254 0.768 [2 per cell]
N2 0.500 0.000 0.263 [2 per cell]

***

Of them, <b> has the lowest stability.